1.
# TmBiCl | Alexandria | PBE | optimized geometry
data_TmBiCl
_chemical_formula_sum 'Tm1 Bi1 Cl1'
_space_group_name_H-M_alt 'P -6 m 2'
_space_group_IT_number 187
_space_group_name_Hall 'P -6 2'
_cell_length_a 4.9267
_cell_length_b 4.9267
_cell_length_c 3.6650
_cell_angle_alpha 90.00
_cell_angle_beta 90.00
_cell_angle_gamma 120.00
loop_
_atom_site_label
_atom_site_type_symbol
_atom_site_fract_x
_atom_site_fract_y
_atom_site_fract_z
_atom_site_occupancy
Tm1 Tm 0.0000 0.0000 0.0000 1
Bi1 Bi 0.6667 0.3333 0.5000 1
Cl1 Cl 0.3333 0.6667 0.0000 1
# Distance to the lowest polymorph of the same formula = 15.0 kJ per mole of atoms

***

2.
# TmBiCl | Alexandria | PBE | optimized geometry
data_TmBiCl
_chemical_formula_sum 'Tm8 Bi8 Cl8'
_space_group_name_H-M_alt 'C 1 2/m 1'
_space_group_IT_number 12
_cell_length_a 22.018
_cell_length_b 4.392
_cell_length_c 10.250
_cell_angle_alpha 90.00
_cell_angle_beta 113.43
_cell_angle_gamma 90.00
loop_
_space_group_symop_operation_xyz
'x,y,z'
'-x,-y,-z'
'-x,y,-z'
'x,-y,z'
'x+1/2,y+1/2,z'
'-x+1/2,-y+1/2,-z'
'-x+1/2,y+1/2,-z'
'x+1/2,-y+1/2,z'
loop_
_atom_site_label
_atom_site_type_symbol
_atom_site_fract_x
_atom_site_fract_y
_atom_site_fract_z
_atom_site_occupancy
Tm1 Tm 0.120 0.000 0.376 1
Tm2 Tm 0.210 0.000 0.840 1
Bi1 Bi 0.176 0.000 0.096 1
Bi2 Bi 0.227 0.500 0.380 1
Cl1 Cl 0.046 0.500 0.281 1
Cl2 Cl 0.097 0.000 0.610 1
# Distance to the lowest polymorph of the same formula = 0.0 kJ per mole of atoms

***

3.
Entry from Alexandria: a relaxed structure of UBiCl6 (PBE).

CIF file:
```
data_UBiCl6
_chemical_formula_sum 'U1 Bi1 Cl6'
_space_group_name_H-M_alt 'P -1'
_space_group_IT_number 2
_cell_length_a 6.846
_cell_length_b 6.848
_cell_length_c 7.451
_cell_angle_alpha 62.66
_cell_angle_beta 89.98
_cell_angle_gamma 60.02
loop_
_space_group_symop_operation_xyz
'x,y,z'
'-x,-y,-z'
loop_
_atom_site_label
_atom_site_type_symbol
_atom_site_fract_x
_atom_site_fract_y
_atom_site_fract_z
_atom_site_occupancy
U1 U 0.000 0.000 0.000 1
Bi1 Bi 0.500 0.000 0.500 1
Cl1 Cl 0.090 0.158 0.248 1
Cl2 Cl 0.249 0.157 0.753 1
Cl3 Cl 0.405 0.504 0.247 1
```

***

4.
# VBi3Cl | Alexandria | PBE | optimized geometry
data_VBi3Cl
_chemical_formula_sum 'V1 Bi3 Cl1'
_space_group_name_H-M_alt 'P m -3 m'
_space_group_IT_number 221
_space_group_name_Hall '-P 4 2 3'
_cell_length_a 5.249
_cell_length_b 5.249
_cell_length_c 5.249
_cell_angle_alpha 90.00
_cell_angle_beta 90.00
_cell_angle_gamma 90.00
loop_
_atom_site_label
_atom_site_type_symbol
_atom_site_fract_x
_atom_site_fract_y
_atom_site_fract_z
_atom_site_occupancy
V1 V 0.000 0.000 0.000 1
Bi1 Bi 0.000 0.000 0.500 1
Cl1 Cl 0.500 0.500 0.500 1
# Distance to the lowest polymorph of the same formula = 0.0 kJ per mole of atoms

***

Number 1: Fermi-level density of states 4.38 states/eV per cell, formation energy (no corrections) -952 meV per atom, E_tot -13.054 eV/cell. Number 2: Fermi-level density of states 0.87 states/eV per cell, formation energy (no corrections) -1107 meV per atom, E_tot -108.155 eV/cell. Number 3: Fermi-level density of states 3.23 states/eV per cell, formation energy (no corrections) -1312 meV per atom, E_tot -36.743 eV/cell. Number 4: Fermi-level density of states 2.37 states/eV per cell, formation energy (no corrections) 69 meV per atom, E_tot -22.262 eV/cell.